[1]
VASP calculation (PBE) on a geometry-optimized SrPmBeN2 structure.

The structure in POSCAR format:
```
SrPmBeN2
1.0
5.312 0.000 0.000
0.000 5.276 0.673
0.000 -0.872 6.826
N Sr Pm Be
4 2 2 2
Cartesian
1.218 0.069 6.946
1.218 3.900 3.966
4.094 4.336 0.553
4.094 0.504 3.533
5.312 2.420 2.043
0.001 1.985 5.456
2.656 -0.654 5.120
2.656 -0.218 1.707
0.000 -0.436 3.413
0.000 0.000 0.000
```

Properties
The volume is 194 Å³ per cell. The space group is Pccm (49). The calculation puts the magnetic moment at 0.00 μB/cell. The uncorrected energy comes out at -6.154 eV per atom. As for the crystal system: orthorhombic.

[2]
VASP calculation (PBE) on a geometry-optimized TbPmBeN2 structure.

The structure in POSCAR format:
```
TbPmBeN2
1.0
-3.803 -3.232 -0.483
2.770 -2.756 -3.368
2.438 -3.610 4.961
Tb Be Pm N
2 2 2 4
Cartesian
-1.291 -2.518 0.999
-0.073 -4.324 3.479
1.219 -1.805 2.480
0.000 0.000 0.000
3.213 -4.086 2.036
-1.807 -5.512 -0.927
-0.284 -1.320 -0.821
2.536 -4.718 -0.288
-1.130 -4.880 1.397
1.690 -8.278 1.930
```

Properties
The volume is 171 Å³ per cell. The space group is Pccm (49). The calculation puts the magnetic moment at 0.01 μB/cell. The uncorrected energy comes out at -6.829 eV per atom. As for the crystal system: orthorhombic.